VASP calculation (PBE) on Ac3PrAl8 after structural relaxation.

abc: 10.145 10.145 10.145
angles: 33.62 33.62 33.62
Atoms (fractional coordinates):
Ac1 0.000 0.000 0.000
Ac2 0.125 0.125 0.125
Ac3 0.625 0.625 0.625
Pr1 0.500 0.500 0.500
Al1 0.061 0.061 0.561
Al2 0.061 0.561 0.061
Al3 0.065 0.563 0.563
Al4 0.312 0.312 0.312
Al5 0.561 0.061 0.061
Al6 0.563 0.065 0.563
Al7 0.563 0.563 0.065
Al8 0.813 0.813 0.813

Computed properties:
ΔH_f (0 K) = -388 meV/atom
Crystal system = trigonal